(1)
# TePW2

TePW2 at its PBEsol-relaxed geometry (SCAN, Alexandria).

Unit cell a=3.1448 b=3.1448 c=6.4317 alpha=90.00 beta=90.00 gamma=90.00
With the nearest neighbours (Å) after each atom.
Element x y z (fractional)
W  0.0000  0.0000  0.7921  4 P 2.59, 1 W 2.67
Te  0.5000  0.5000  0.5000  8 W 2.91, 4 Te 3.14, 2 P 3.22
W  0.0000  0.0000  0.2079  4 P 2.59, 1 W 2.67
P  0.5000  0.5000  0.0000  8 W 2.59

Summary:
Total energy in eV per atom: -46.3388
Uncorrected formation energy in meV per atom: 417.6
Excess energy over the best structure of this formula in the dataset in meV/atom: 0
Space group: P4/mmm


(2)
# SrTlMo2

SrTlMo2 at its PBEsol-relaxed geometry (SCAN, Alexandria).

Unit cell a=3.0180 b=3.0180 c=10.4726 alpha=81.72 beta=81.72 gamma=60.00
With the nearest neighbours (Å) after each atom.
Element x y z (fractional)
Mo  0.7431  0.7431  0.7707  3 Tl 2.94, 6 Mo 3.02
Mo  0.2569  0.2569  0.2293  3 Tl 2.94, 6 Mo 3.02
Tl  0.0000  0.0000  0.0000  6 Mo 2.94, 6 Tl 3.02
Sr  0.5000  0.5000  0.5000  6 Sr 3.02, 6 Mo 3.29

Summary:
Total energy in eV per atom: -39.8834
Energy relative to the elements in eV per atom: 1.218
Excess energy over the best structure of this formula in the dataset in meV/atom: 300
Space group: R-3m


(3)
# Li2CuSn

Li2CuSn at its PBEsol-relaxed geometry (SCAN, Alexandria).

Unit cell a=4.3864 b=4.3864 c=4.3864 alpha=60.00 beta=60.00 gamma=60.00
With the nearest neighbours (Å) after each atom.
Element x y z (fractional)
Cu  0.2500  0.2500  0.2500  4 Sn 2.69, 4 Li 2.69
Sn  0.0000  0.0000  0.0000  4 Cu 2.69, 4 Li 2.69
Li  0.7500  0.7500  0.7500  4 Li 2.69, 4 Sn 2.69
Li  0.5000  0.5000  0.5000  4 Li 2.69, 4 Cu 2.69

Summary:
Total energy in eV per atom: -14.3560
Energy relative to the elements in eV per atom: -0.381
Space group: F-43m


(4)
# CuNi2Mo

CuNi2Mo at its PBEsol-relaxed geometry (SCAN, Alexandria).

Unit cell a=2.5925 b=2.5925 c=6.9908 alpha=90.00 beta=90.00 gamma=90.00
With the nearest neighbours (Å) after each atom.
Element x y z (fractional)
Mo  0.5000  0.5000  0.5000  8 Ni 2.59, 4 Mo 2.59
Cu  0.5000  0.5000  0.0000  8 Ni 2.48, 4 Cu 2.59
Ni  0.0000  0.0000  0.7620  4 Cu 2.48, 4 Mo 2.59, 4 Ni 2.59
Ni  0.0000  0.0000  0.2380  4 Cu 2.48, 4 Mo 2.59, 4 Ni 2.59

Summary:
Total energy in eV per atom: -20.5693
Energy relative to the elements in eV per atom: 0.038
Excess energy over the best structure of this formula in the dataset in meV/atom: 0
Space group: P4/mmm


(5)
# Ba2CuP2O9

Ba2CuP2O9 at its PBEsol-relaxed geometry (SCAN, Alexandria).

Unit cell a=5.6840 b=8.4175 c=8.8709 alpha=112.97 beta=90.00 gamma=90.00
With the nearest neighbours (Å) after each atom.
Element x y z (fractional)
O  0.7500  0.2629  0.4212  1 P 1.56
O  0.2500  0.0375  0.5827  1 P 1.55
O  0.5291  0.0179  0.1968  1 P 1.55
O  0.0291  0.9821  0.8032  1 P 1.55
O  0.4709  0.9821  0.8032  1 P 1.55
O  0.4790  0.4818  0.7066  1 P 1.59
Ba  0.7500  0.7898  0.9077  10 O 2.68-2.98
Ba  0.7500  0.2041  0.7222  7 O 2.68-2.90
O  0.7500  0.2973  0.0598  1 P 1.53
O  0.7500  0.9625  0.4173  1 P 1.55
P  0.7500  0.4843  0.1832  4 O 1.52-1.59
O  0.2500  0.3830  0.8943  1 P 1.52
O  0.2500  0.3639  0.4298  2 Cu 1.78
O  0.7500  0.6361  0.5702  2 Cu 1.78
O  0.5210  0.5182  0.2934  1 P 1.59
O  0.7500  0.6170  0.1057  1 P 1.52
P  0.2500  0.9333  0.6930  4 O 1.55-1.56
O  0.9790  0.5182  0.2934  1 P 1.59
O  0.9709  0.0179  0.1968  1 P 1.55
Ba  0.2500  0.7959  0.2778  7 O 2.68-2.90
Cu  0.0000  0.5000  0.5000  4 O 1.78-1.90
Cu  0.5000  0.5000  0.5000  4 O 1.78-1.90
P  0.2500  0.5157  0.8168  4 O 1.52-1.59
O  0.2500  0.7371  0.5788  1 P 1.56
O  0.2500  0.7027  0.9402  1 P 1.53
O  0.0210  0.4818  0.7066  1 P 1.59
P  0.7500  0.0667  0.3070  4 O 1.55-1.56
Ba  0.2500  0.2102  0.0923  10 O 2.68-2.98

Summary:
Total energy in eV per atom: -14.6721
Uncorrected formation energy in meV per atom: -2445.1
Space group: P2_1/m


(6)
# TaCu2As

TaCu2As at its PBEsol-relaxed geometry (SCAN, Alexandria).

Unit cell a=2.8357 b=4.1391 c=5.0216 alpha=90.00 beta=102.99 gamma=90.00
With the nearest neighbours (Å) after each atom.
Element x y z (fractional)
Ta  0.5000  0.5000  0.0000  2 As 2.59, 8 Cu 2.78-2.80, 2 Ta 2.84
As  0.0000  0.5000  0.5000  4 Cu 2.47, 2 Ta 2.59
Cu  0.9084  0.0000  0.7519  2 Cu 2.43-2.69, 2 As 2.47
Cu  0.0916  0.0000  0.2481  2 Cu 2.43-2.69, 2 As 2.47

Summary:
Total energy in eV per atom: -29.2194
Energy relative to the elements in eV per atom: 0.074
Space group: P2/m


(7)
# EuMg2

EuMg2 at its PBEsol-relaxed geometry (SCAN, Alexandria).

Unit cell a=6.2094 b=6.2094 c=10.0489 alpha=90.00 beta=90.00 gamma=120.00
With the nearest neighbours (Å) after each atom.
Element x y z (fractional)
Mg  0.0000  0.0000  0.0000  6 Mg 3.10
Mg  0.3367  0.1684  0.7500  6 Mg 3.07-3.14
Mg  0.1684  0.3367  0.2500  6 Mg 3.07-3.14
Eu  0.3333  0.6667  0.9392  12 Mg 3.59-3.64, 4 Eu 3.79-3.80
Mg  0.0000  0.0000  0.5000  6 Mg 3.10
Mg  0.6633  0.8316  0.2500  6 Mg 3.07-3.14
Eu  0.3333  0.6667  0.5608  12 Mg 3.59-3.64, 4 Eu 3.79-3.80
Mg  0.8316  0.6633  0.7500  6 Mg 3.07-3.14
Eu  0.6667  0.3333  0.4392  12 Mg 3.59-3.64, 4 Eu 3.79-3.80
Mg  0.1684  0.8316  0.2500  6 Mg 3.07-3.14
Eu  0.6667  0.3333  0.0608  12 Mg 3.59-3.64, 4 Eu 3.79-3.80
Mg  0.8316  0.1684  0.7500  6 Mg 3.07-3.14

Summary:
Total energy in eV per atom: -21.3531
Energy relative to the elements in eV per atom: -0.133
Space group: P6_3/mmc


(8)
# VF5

VF5 at its PBEsol-relaxed geometry (SCAN, Alexandria).

Unit cell a=4.8949 b=8.2720 c=9.6659 alpha=90.00 beta=90.00 gamma=90.00
With the nearest neighbours (Å) after each atom.
Element x y z (fractional)
F  0.4683  0.5723  0.1272  1 V 1.74
V  0.7097  0.9146  0.7500  5 F 1.71-1.74
F  0.9360  0.6027  0.7500  1 V 1.71
F  0.0317  0.0723  0.1272  1 V 1.74
F  0.4733  0.1937  0.1264  1 V 1.74
F  0.0267  0.6937  0.3736  1 V 1.74
F  0.0640  0.3973  0.2500  1 V 1.71
F  0.5317  0.4277  0.6272  1 V 1.74
F  0.9733  0.3063  0.6264  1 V 1.74
F  0.5267  0.8063  0.6264  1 V 1.74
F  0.9683  0.9277  0.6272  1 V 1.74
F  0.5267  0.8063  0.8736  1 V 1.74
F  0.5317  0.4277  0.8728  1 V 1.74
V  0.7903  0.4146  0.7500  5 F 1.71-1.74
F  0.9733  0.3063  0.8736  1 V 1.74
V  0.2097  0.5854  0.2500  5 F 1.71-1.74
V  0.2903  0.0854  0.2500  5 F 1.71-1.74
F  0.4683  0.5723  0.3728  1 V 1.74
F  0.0317  0.0723  0.3728  1 V 1.74
F  0.4360  0.8973  0.2500  1 V 1.71
F  0.0267  0.6937  0.1264  1 V 1.74
F  0.9683  0.9277  0.8728  1 V 1.74
F  0.5640  0.1027  0.7500  1 V 1.71
F  0.4733  0.1937  0.3736  1 V 1.74

Summary:
Total energy in eV per atom: -8.6398
Uncorrected formation energy in meV per atom: -2775.1
Space group: Pnma